No. 1
# YAg3 PBE-GGA optimized geometry
# uncorrected energy = -3.93 eV per atom
# formation energy = -68.2 kJ/mol of formula units
# density of states at the Fermi level = 1.88 states/eV/f.u.
# density = 8.16 g/cm3
data_YAg3
_chemical_formula_sum 'Y1 Ag3'
_symmetry_space_group_name_H-M 'P 4/m m m'
_symmetry_Int_Tables_number 123
_symmetry_space_group_name_Hall '-P 4 2'
_cell_length_a 3.580
_cell_length_b 3.580
_cell_length_c 6.551
_cell_angle_alpha 90.00
_cell_angle_beta 90.00
_cell_angle_gamma 90.00
loop_
_atom_site_label
_atom_site_fract_x
_atom_site_fract_y
_atom_site_fract_z
Y1 0.000 0.000 0.000
Ag1 0.000 0.000 0.500
Ag2 0.500 0.500 0.276


No. 2
# HoAl2Cu4 PBE-GGA optimized geometry
# energy relative to the lowest polymorph listed for this composition = 566.2 meV per atom
# uncorrected energy = -3.84 eV per atom
# formation energy = 148.4 kJ/mol of formula units
# density of states at the Fermi level = 3.92 states/eV/f.u.
# density = 5.68 g/cm3
data_HoAl2Cu4
_chemical_formula_sum 'Ho2 Al4 Cu8'
_symmetry_space_group_name_H-M 'I 4/m m m'
_symmetry_Int_Tables_number 139
_symmetry_space_group_name_Hall '-I 4 2'
_cell_length_a 7.197
_cell_length_b 7.197
_cell_length_c 5.338
_cell_angle_alpha 90.00
_cell_angle_beta 90.00
_cell_angle_gamma 90.00
loop_
_atom_site_label
_atom_site_fract_x
_atom_site_fract_y
_atom_site_fract_z
Ho1 0.000 0.000 0.000
Al1 0.000 0.500 0.250
Cu1 0.000 0.227 0.500


No. 3
# BeIrF2 PBE-GGA optimized geometry
# energy relative to the lowest polymorph listed for this composition = 619.2 meV per atom
# formation energy without anion corrections = -4.64 eV/f.u.
# uncorrected energy = -5.24 eV per atom
# density of states at the Fermi level = 3.21 states/eV/f.u.
# density = 6.32 g/cm3
data_BeIrF2
_chemical_formula_sum 'Be3 Ir3 F6'
_symmetry_space_group_name_H-M 'R -3 m'
_symmetry_Int_Tables_number 166
_symmetry_space_group_name_Hall '-R 3 2"'
_cell_length_a 2.6875
_cell_length_b 2.6875
_cell_length_c 30.1562
_cell_angle_alpha 90.00
_cell_angle_beta 90.00
_cell_angle_gamma 120.00
loop_
_atom_site_label
_atom_site_fract_x
_atom_site_fract_y
_atom_site_fract_z
Be1 0.0000 0.0000 0.0000
Ir1 0.0000 0.0000 0.5000
F1 0.0000 0.0000 0.0453


No. 4
# Dy2HoHg8 PBE-GGA optimized geometry
# uncorrected energy = -1.78 eV per atom
# formation energy = -328.8 kJ/mol of formula units
# density of states at the Fermi level = 4.82 states/eV/f.u.
# density = 12.96 g/cm3
data_Dy2HoHg8
_chemical_formula_sum 'Dy4 Ho2 Hg16'
_symmetry_space_group_name_H-M 'C 1 2/m 1'
_symmetry_Int_Tables_number 12
_cell_length_a 15.966
_cell_length_b 4.929
_cell_length_c 7.225
_cell_angle_alpha 90.00
_cell_angle_beta 109.30
_cell_angle_gamma 90.00
loop_
_symmetry_equiv_pos_as_xyz
'x,y,z'
'-x,-y,-z'
'-x,y,-z'
'x,-y,z'
'x+1/2,y+1/2,z'
'-x+1/2,-y+1/2,-z'
'-x+1/2,y+1/2,-z'
'x+1/2,-y+1/2,z'
loop_
_atom_site_label
_atom_site_fract_x
_atom_site_fract_y
_atom_site_fract_z
Dy1 0.215 0.000 0.156
Ho1 0.000 0.500 0.500
Hg1 0.028 0.000 0.230
Hg2 0.097 0.500 0.953
Hg3 0.150 0.000 0.681
Hg4 0.171 0.500 0.400


No. 5
# Mg2Sc3Cd2 PBE-GGA optimized geometry
# uncorrected energy = -3.54 eV per atom
# formation energy = -72.3 kJ/mol of formula units
# density of states at the Fermi level = 8.37 states/eV/f.u.
# density = 4.24 g/cm3
data_Mg2Sc3Cd2
_chemical_formula_sum 'Mg4 Sc6 Cd4'
_symmetry_space_group_name_H-M 'C 1 2/m 1'
_symmetry_Int_Tables_number 12
_cell_length_a 10.458
_cell_length_b 4.590
_cell_length_c 6.672
_cell_angle_alpha 90.00
_cell_angle_beta 93.61
_cell_angle_gamma 90.00
loop_
_symmetry_equiv_pos_as_xyz
'x,y,z'
'-x,-y,-z'
'-x,y,-z'
'x,-y,z'
'x+1/2,y+1/2,z'
'-x+1/2,-y+1/2,-z'
'-x+1/2,y+1/2,-z'
'x+1/2,-y+1/2,z'
loop_
_atom_site_label
_atom_site_fract_x
_atom_site_fract_y
_atom_site_fract_z
Mg1 0.087 0.000 0.202
Sc1 0.000 0.500 0.500
Sc2 0.207 0.000 0.654
Cd1 0.132 0.500 0.926


No. 6
# Y2ErCuTe5 PBE-GGA optimized geometry
# formation energy without anion corrections = -10.15 eV/f.u.
# uncorrected energy = -5.27 eV per atom
# density of states at the Fermi level = 0.22 states/eV/f.u.
# density = 6.79 g/cm3
data_Y2ErCuTe5
_chemical_formula_sum 'Y8 Er4 Cu4 Te20'
_symmetry_space_group_name_H-M 'C m c 21'
_symmetry_Int_Tables_number 36
_cell_length_a 4.229
_cell_length_b 18.764
_cell_length_c 12.906
_cell_angle_alpha 90.00
_cell_angle_beta 90.00
_cell_angle_gamma 90.00
loop_
_symmetry_equiv_pos_as_xyz
'x,y,z'
'-x,-y,z+1/2'
'-x,y,z'
'x,-y,z+1/2'
'x+1/2,y+1/2,z'
'-x+1/2,-y+1/2,z+1/2'
'-x+1/2,y+1/2,z'
'x+1/2,-y+1/2,z+1/2'
loop_
_atom_site_label
_atom_site_fract_x
_atom_site_fract_y
_atom_site_fract_z
Y1 0.000 0.109 0.000
Y2 0.000 0.124 0.619
Er1 0.000 0.189 0.325
Cu1 0.000 0.429 0.776
Te1 0.000 0.040 0.384
Te2 0.000 0.286 0.989
Te3 0.000 0.313 0.656
Te4 0.000 0.354 0.315
Te5 0.000 0.499 0.104